(1)
! NaDyBi2, relaxed, DFT PBE-GGA; values from VASP
&SYSTEM
  ibrav = 0, nat = 4, ntyp = 3
/
ATOMIC_SPECIES
Na 22.99 Na.upf
Bi 208.98 Bi.upf
Dy 162.50 Dy.upf
ATOMIC_POSITIONS crystal
Na 0.500 0.500 0.000
Bi 0.000 0.000 0.741
Bi 0.000 0.000 0.259
Dy 0.500 0.500 0.500
CELL_PARAMETERS angstrom
-2.322 2.737 0.660
-2.608 -1.768 -1.841
-2.613 -4.049 7.592
! Density (Mg/m³): 8.37
! ΔE to the lowest computed polymorph (meV/atom): 0
! E (eV/cell): -15.625
! Energy of formation from the pure elements (eV per formula unit): -1.942

=====

(2)
! NaDyBi2, relaxed, DFT PBE-GGA; values from VASP
&SYSTEM
  ibrav = 0, nat = 4, ntyp = 3
/
ATOMIC_SPECIES
Na 22.99 Na.upf
Dy 162.50 Dy.upf
Bi 208.98 Bi.upf
ATOMIC_POSITIONS crystal
Na 0.491 0.491 0.526
Dy 0.672 0.672 0.985
Bi 0.083 0.083 0.750
Bi 0.254 0.254 0.239
CELL_PARAMETERS angstrom
4.873 0.000 0.000
2.436 4.220 0.000
2.436 1.407 6.433
! Density (Mg/m³): 7.58
! ΔE to the lowest computed polymorph (meV/atom): 76
! E (eV/cell): -15.323
! Energy of formation from the pure elements (eV per formula unit): -1.639

=====

(3)
! Na2DyBiO4, relaxed, DFT PBE-GGA; values from VASP
&SYSTEM
  ibrav = 0, nat = 8, ntyp = 4
/
ATOMIC_SPECIES
Na 22.99 Na.upf
Dy 162.50 Dy.upf
Bi 208.98 Bi.upf
O 16.00 O.upf
ATOMIC_POSITIONS crystal
Na 0.500 0.000 0.500
Na 0.000 0.500 0.500
Dy 0.500 0.500 0.000
Bi 0.000 0.000 0.000
O 0.500 0.255 0.225
O 0.500 0.745 0.775
O 0.000 0.273 0.786
O 0.000 0.727 0.214
CELL_PARAMETERS angstrom
-1.211 3.193 0.651
-3.270 -0.202 -5.093
-3.245 -2.158 4.551
! Density (Mg/m³): 6.72
! E (eV/cell): -47.482

=====

(4)
! Na4Dy3BiO8, relaxed, DFT PBE-GGA; values from VASP
&SYSTEM
  ibrav = 0, nat = 16, ntyp = 4
/
ATOMIC_SPECIES
Na 22.99 Na.upf
Dy 162.50 Dy.upf
Bi 208.98 Bi.upf
O 16.00 O.upf
ATOMIC_POSITIONS crystal
Na 0.500 0.000 0.000
Na 0.500 0.000 0.500
Na 0.000 0.000 0.000
Na 0.000 0.000 0.500
Dy 0.500 0.500 0.000
Dy 0.500 0.500 0.500
Dy 0.000 0.500 0.500
Bi 0.000 0.500 0.000
O 0.245 0.717 0.972
O 0.245 0.717 0.490
O 0.264 0.291 0.527
O 0.727 0.717 0.972
O 0.273 0.283 0.028
O 0.736 0.709 0.473
O 0.755 0.283 0.510
O 0.755 0.283 0.028
CELL_PARAMETERS angstrom
-0.497 0.638 -6.869
0.129 -6.857 -0.646
-4.684 3.013 4.100
! Density (Mg/m³): 6.54
! E (eV/cell): -101.593